Hg12As3Cl5 GGA-PBE optimized geometry; DOS at the Fermi energy = 0.397 states/eV/atom; total magnetization = 0.000 μB per atom; calculated total energy = -108.99 eV per cell
1.0
-8.5522 8.5522 8.5522
8.5522 -8.5522 8.5522
8.5522 8.5522 -8.5522
Hg As Cl
48 12 20
direct
0.0598 0.6282 0.3834
0.0598 0.9316 0.6764
0.0684 0.2448 0.1282
0.0684 0.3236 0.9402
0.1166 0.7448 0.6764
0.1166 0.8718 0.4402
0.1282 0.0684 0.2448
0.1282 0.5598 0.8834
0.1764 0.2448 0.6166
0.1764 0.4316 0.5598
0.2448 0.1282 0.0684
0.2448 0.6166 0.1764
0.2552 0.3236 0.8834
0.2552 0.4316 0.3718
0.3236 0.8834 0.2552
0.3236 0.9402 0.0684
0.3718 0.2552 0.4316
0.3718 0.6166 0.9402
0.3834 0.0598 0.6282
0.3834 0.8236 0.7552
0.4316 0.3718 0.2552
0.4316 0.5598 0.1764
0.4402 0.1166 0.8718
0.4402 0.8236 0.5684
0.5598 0.1764 0.4316
0.5598 0.8834 0.1282
0.5684 0.4402 0.8236
0.5684 0.6282 0.7448
0.6166 0.1764 0.2448
0.6166 0.9402 0.3718
0.6282 0.3834 0.0598
0.6282 0.7448 0.5684
0.6764 0.0598 0.9316
0.6764 0.1166 0.7448
0.7448 0.5684 0.6282
0.7448 0.6764 0.1166
0.7552 0.3834 0.8236
0.7552 0.8718 0.9316
0.8236 0.5684 0.4402
0.8236 0.7552 0.3834
0.8718 0.4402 0.1166
0.8718 0.9316 0.7552
0.8834 0.1282 0.5598
0.8834 0.2552 0.3236
0.9316 0.6764 0.0598
0.9316 0.7552 0.8718
0.9402 0.0684 0.3236
0.9402 0.3718 0.6166
0.1250 0.2500 0.3750
0.1250 0.3750 0.7500
0.2500 0.3750 0.1250
0.2500 0.8750 0.6250
0.3750 0.1250 0.2500
0.3750 0.7500 0.1250
0.6250 0.2500 0.8750
0.6250 0.8750 0.7500
0.7500 0.1250 0.3750
0.7500 0.6250 0.8750
0.8750 0.6250 0.2500
0.8750 0.7500 0.6250
0.0000 0.0000 0.0000
0.0000 0.0000 0.5000
0.0000 0.5000 0.0000
0.0000 0.5000 0.5000
0.1250 0.7500 0.8750
0.1250 0.8750 0.2500
0.2500 0.1250 0.8750
0.2500 0.6250 0.3750
0.3750 0.2500 0.6250
0.3750 0.6250 0.7500
0.5000 0.0000 0.0000
0.5000 0.0000 0.5000
0.5000 0.5000 0.0000
0.5000 0.5000 0.5000
0.6250 0.3750 0.2500
0.6250 0.7500 0.3750
0.7500 0.3750 0.6250
0.7500 0.8750 0.1250
0.8750 0.1250 0.7500
0.8750 0.2500 0.1250